No. 1
Here is MgV2H2 after structural relaxation from Alexandria. Energies are from PBE.

Results
Offset from the most stable computed form (kJ/mol of formula units): 321.8
ρ (g/cm³): 3.50

a b c (Å): 6.940 6.940 2.526
angles (deg): 90.00 90.00 90.00
Space group P4/mbm (No. 127)
Unique sites:
Mg  0.000  0.000  0.000 x2
V  0.116  0.384  0.000 x4
H  0.102  0.602  0.500 x4


No. 2
Here is Pm2Th2Tl7 after structural relaxation from Alexandria. Energies are from PBE.

Results
Calculated formation energy (meV per atom): 184
ρ (g/cm³): 9.76

a b c (Å): 8.699 10.986 7.782
angles (deg): 90.00 90.00 90.00
Space group Cmmm (No. 65)
Unique sites:
Pm  0.183  0.000  0.000 x4
Th  0.000  0.302  0.500 x4
Tl  0.000  0.000  0.500 x2
Tl  0.000  0.500  0.197 x4
Tl  0.250  0.250  0.203 x8


No. 3
Here is Cd8SnHg3 after structural relaxation from Alexandria. Energies are from PBE.

Results
Calculated formation energy (meV per atom): 72
ρ (g/cm³): 9.07

a b c (Å): 5.9438 5.9438 29.0722
angles (deg): 90.00 90.00 120.00
Space group R3m (No. 160, hexagonal axes)
Unique sites:
Cd  0.0000  0.0000  0.0000 x3
Cd  0.0000  0.0000  0.4992 x3
Cd  0.0002  0.5001  0.2492 x9
Cd  0.9998  0.4999  0.7501 x9
Sn  0.0000  0.0000  0.3135 x3
Hg  0.0000  0.0000  0.1871 x3
Hg  0.0000  0.0000  0.6886 x3
Hg  0.0000  0.0000  0.8128 x3


No. 4
Here is GaSnPb2 after structural relaxation from Alexandria. Energies are from PBE.

Results
Offset from the most stable computed form (kJ/mol of formula units): 50.2
Calculated formation energy (meV per atom): 174
ρ (g/cm³): 7.73

a b c (Å): 5.924 25.996 3.368
angles (deg): 90.00 93.45 90.00
Space group C2/c (No. 15)
Unique sites:
Ga  0.250  0.250  0.000 x4
Sn  0.000  0.169  0.250 x4
Pb  0.249  0.441  0.500 x8


No. 5
Here is LiPd3Pb5 after structural relaxation from Alexandria. Energies are from PBE.

Results
Calculated formation energy (meV per atom): -132
ρ (g/cm³): 9.88

a b c (Å): 13.031 9.855 9.377
angles (deg): 90.00 130.50 90.00
Space group C2/m (No. 12)
Unique sites:
Li  0.155  0.000  0.385 x4
Pd  0.000  0.000  0.000 x2
Pd  0.000  0.000  0.500 x2
Pd  0.185  0.500  0.208 x4
Pd  0.212  0.500  0.737 x4
Pb  0.000  0.279  0.000 x4
Pb  0.018  0.500  0.306 x4
Pb  0.153  0.000  0.888 x4
Pb  0.169  0.239  0.593 x8


No. 6
Here is ThIrI after structural relaxation from Alexandria. Energies are from PBE.

Results
ΔE_f (raw) (eV per atom): -0.86
Offset from the most stable computed form (kJ/mol of formula units): 0.0
ρ (g/cm³): 9.54

a b c (Å): 4.064 4.185 11.285
angles (deg): 90.00 90.80 90.00
Space group P2_1/m (No. 11)
Unique sites:
Th  0.246  0.250  0.389 x2
Ir  0.256  0.250  0.647 x2
I  0.263  0.750  0.844 x2